Entry 1:
Computed, not measured: a relaxed structure of CaBOs2 at the PBE level of DFT.

Properties
Electronic total energy (eV per atom): -7.1972
Crystal system: tetragonal
D(E_F) (states/eV/cell): 7.8
E_form (eV per atom): 0.587

Unit cell a=4.7419 b=4.7419 c=7.9619 alpha=72.68 beta=72.68 gamma=90.00
Last column: nearest neighbours and their distance in Å.
Fractional coordinates of all 8 atoms:
Ca1 0.0000 0.0000 0.0000  8 Os 3.10-3.32, 4 B 3.35
B1 0.2500 0.7500 0.5000  4 Os 2.17
Ca2 0.7500 0.2500 0.5000  8 Os 3.10-3.32, 4 B 3.35
Os1 0.8750 0.5933 0.7500  2 B 2.17, 2 Os 2.39
Os2 0.3750 0.6567 0.7500  2 B 2.17, 2 Os 2.39
Os3 0.4067 0.6250 0.2500  2 B 2.17, 2 Os 2.39
Os4 0.3433 0.1250 0.2500  2 B 2.17, 2 Os 2.39
B2 0.5000 0.5000 0.0000  4 Os 2.17



Entry 2:
Computed, not measured: a relaxed structure of Th3Zn5O12 at the PBE level of DFT.

Properties
Electronic total energy (eV per atom): -6.7012
Crystal system: cubic
D(E_F) (states/eV/cell): 59.6
Formation energy from raw total energies (eV per atom): -2.295

Unit cell a=11.1077 b=11.1077 c=11.1077 alpha=109.47 beta=109.47 gamma=109.47
Last column: nearest neighbours and their distance in Å.
Fractional coordinates of all 80 atoms:
O1 0.2130 0.5374 0.6286  2 Zn 1.97-2.12
O2 0.9626 0.5912 0.1756  2 Zn 1.97-2.12
Zn1 0.6250 0.7500 0.8750  4 O 1.97
Zn2 0.5000 0.0000 0.5000  6 O 2.12
Th1 0.2500 0.6250 0.8750  8 O 2.41-2.47
Th2 0.7500 0.3750 0.1250  8 O 2.41-2.47
Zn3 0.1250 0.7500 0.3750  4 O 1.97
O3 0.0912 0.9156 0.1286  2 Zn 1.97-2.12
Zn4 0.0000 0.0000 0.0000  6 O 2.12
Zn5 0.1250 0.3750 0.2500  4 O 1.97
O4 0.0374 0.6286 0.7130  2 Zn 1.97-2.12
O5 0.0844 0.9088 0.3714  2 Zn 1.97-2.12
O6 0.0912 0.1756 0.4626  2 Zn 1.97-2.12
O7 0.4156 0.2870 0.3244  2 Zn 1.97-2.12
O8 0.5374 0.2130 0.1286  2 Zn 1.97-2.12
Th3 0.3750 0.6250 0.2500  8 O 2.41-2.47
O9 0.4088 0.3714 0.5844  2 Zn 1.97-2.12
O10 0.8244 0.9088 0.0374  2 Zn 1.97-2.12
O11 0.5844 0.8714 0.4088  2 Zn 1.97-2.12
Zn6 0.0000 0.5000 0.5000  6 O 2.12
Zn7 0.6250 0.8750 0.2500  4 O 1.97
Zn8 0.5000 0.5000 0.5000  6 O 2.12
O12 0.3244 0.5374 0.4088  2 Zn 1.97-2.12
Zn9 0.0000 0.5000 0.0000  6 O 2.12
Th4 0.1250 0.8750 0.7500  8 O 2.41-2.47
Zn10 0.3750 0.2500 0.1250  4 O 1.97
O13 0.1756 0.0844 0.7130  2 Zn 1.97-2.12
O14 0.7870 0.4626 0.3714  2 Zn 1.97-2.12
O15 0.4156 0.1286 0.5912  2 Zn 1.97-2.12
O16 0.7130 0.5844 0.1756  2 Zn 1.97-2.12
O17 0.9088 0.8244 0.5374  2 Zn 1.97-2.12
O18 0.5374 0.3244 0.9088  2 Zn 1.97-2.12
O19 0.6286 0.5912 0.9156  2 Zn 1.97-2.12
Zn11 0.5000 0.5000 0.0000  6 O 2.12
O20 0.8244 0.9156 0.2870  2 Zn 1.97-2.12
O21 0.7130 0.1286 0.0374  2 Zn 1.97-2.12
Zn12 0.8750 0.6250 0.7500  4 O 1.97
O22 0.7870 0.3244 0.9156  2 Zn 1.97-2.12
Th5 0.3750 0.7500 0.6250  8 O 2.41-2.47
O23 0.3714 0.9626 0.7870  2 Zn 1.97-2.12
O24 0.1756 0.0912 0.9626  2 Zn 1.97-2.12
Zn13 0.2500 0.8750 0.1250  4 O 1.97
O25 0.9088 0.0844 0.8714  2 Zn 1.97-2.12
O26 0.1286 0.4156 0.0912  2 Zn 1.97-2.12
Th6 0.6250 0.2500 0.3750  8 O 2.41-2.47
Zn14 0.8750 0.2500 0.6250  4 O 1.97
O27 0.0844 0.1756 0.2130  2 Zn 1.97-2.12
Zn15 0.5000 0.0000 0.0000  6 O 2.12
O28 0.5844 0.7130 0.6756  2 Zn 1.97-2.12
O29 0.2130 0.6756 0.0844  2 Zn 1.97-2.12
O30 0.3714 0.4088 0.0844  2 Zn 1.97-2.12
Th7 0.2500 0.1250 0.3750  8 O 2.41-2.47
Th8 0.8750 0.7500 0.1250  8 O 2.41-2.47
O31 0.6756 0.4626 0.5912  2 Zn 1.97-2.12
Th9 0.7500 0.8750 0.6250  8 O 2.41-2.47
Th10 0.1250 0.2500 0.8750  8 O 2.41-2.47
O32 0.4088 0.0374 0.3244  2 Zn 1.97-2.12
O33 0.1286 0.7130 0.5374  2 Zn 1.97-2.12
O34 0.9156 0.8244 0.7870  2 Zn 1.97-2.12
O35 0.6756 0.2130 0.5844  2 Zn 1.97-2.12
O36 0.2870 0.4156 0.8244  2 Zn 1.97-2.12
O37 0.8714 0.2870 0.4626  2 Zn 1.97-2.12
O38 0.6286 0.0374 0.2130  2 Zn 1.97-2.12
Th11 0.6250 0.3750 0.7500  8 O 2.41-2.47
O39 0.0374 0.4088 0.8244  2 Zn 1.97-2.12
Zn16 0.0000 0.0000 0.5000  6 O 2.12
O40 0.5912 0.9626 0.6756  2 Zn 1.97-2.12
Zn17 0.2500 0.3750 0.6250  4 O 1.97
O41 0.5912 0.6286 0.4156  2 Zn 1.97-2.12
Zn18 0.3750 0.1250 0.7500  4 O 1.97
O42 0.4626 0.6756 0.0912  2 Zn 1.97-2.12
Zn19 0.7500 0.1250 0.8750  4 O 1.97
Zn20 0.7500 0.6250 0.3750  4 O 1.97
O43 0.4626 0.7870 0.8714  2 Zn 1.97-2.12
O44 0.9156 0.0912 0.6286  2 Zn 1.97-2.12
O45 0.3244 0.7870 0.4156  2 Zn 1.97-2.12
O46 0.2870 0.8714 0.9626  2 Zn 1.97-2.12
O47 0.9626 0.3714 0.2870  2 Zn 1.97-2.12
O48 0.8714 0.5844 0.9088  2 Zn 1.97-2.12
Th12 0.8750 0.1250 0.2500  8 O 2.41-2.47



Entry 3:
Computed, not measured: a relaxed structure of CaNd2Sm3 at the PBE level of DFT.

Properties
Electronic total energy (eV per atom): -4.2328
Crystal system: monoclinic
D(E_F) (states/eV/cell): 16.4
E_form (eV per atom): 0.050

Unit cell a=7.3195 b=6.3669 c=12.1841 alpha=110.47 beta=89.98 gamma=125.08
Last column: nearest neighbours and their distance in Å.
Fractional coordinates of all 12 atoms:
Nd1 0.4617 0.6740 0.9243  8 Sm 3.59-3.72, 2 Nd 3.59, 2 Ca 3.72
Sm1 0.9570 0.6640 0.9139  5 Nd 3.65-3.73, 4 Sm 3.66-3.71, 3 Ca 3.66-3.70
Sm2 0.2929 0.3360 0.5863  5 Nd 3.65-3.72, 3 Ca 3.66-3.70, 4 Sm 3.66-3.71
Nd2 0.2124 0.6742 0.4246  8 Sm 3.59-3.73, 2 Nd 3.59, 2 Ca 3.72
Ca1 0.1254 0.0002 0.2501  8 Sm 3.66-3.70, 4 Nd 3.72
Sm3 0.0430 0.3360 0.0861  5 Nd 3.65-3.73, 4 Sm 3.66-3.71, 3 Ca 3.66-3.70
Nd3 0.7876 0.3258 0.5754  8 Sm 3.59-3.73, 2 Nd 3.59, 2 Ca 3.72
Ca2 0.8746 0.9998 0.7499  8 Sm 3.66-3.70, 4 Nd 3.72
Sm4 0.3748 0.0000 0.7502  6 Nd 3.59-3.72, 4 Sm 3.66, 2 Ca 3.66
Sm5 0.7071 0.6640 0.4137  5 Nd 3.65-3.72, 3 Ca 3.66-3.70, 4 Sm 3.66-3.71
Sm6 0.6252 0.0000 0.2498  6 Nd 3.59-3.72, 4 Sm 3.66, 2 Ca 3.66
Nd4 0.5383 0.3260 0.0757  8 Sm 3.59-3.72, 2 Nd 3.59, 2 Ca 3.72



Entry 4:
Computed, not measured: a relaxed structure of AgSnHRh2 at the PBE level of DFT.

Properties
Electronic total energy (eV per atom): -5.1277
Crystal system: tetragonal
D(E_F) (states/eV/cell): 0.6

Unit cell a=4.1566 b=4.1566 c=3.9331 alpha=90.00 beta=90.00 gamma=90.00
Last column: nearest neighbours and their distance in Å.
Fractional coordinates of all 5 atoms:
H1 0.0000 0.0000 0.0000  2 Ag 1.97, 4 Rh 2.08
Rh1 0.0000 0.5000 0.0000  2 H 2.08
Ag1 0.0000 0.0000 0.5000  2 H 1.97
Sn1 0.5000 0.5000 0.5000  8 Rh 2.86, 4 Ag 2.94
Rh2 0.5000 0.0000 0.0000  2 H 2.08



Entry 5:
Computed, not measured: a relaxed structure of Hf2InAg at the PBE level of DFT.

Properties
Electronic total energy (eV per atom): -5.9961
Crystal system: trigonal
D(E_F) (states/eV/cell): 5.6
E_form (eV per atom): 0.378

Unit cell a=4.5776 b=4.5776 c=5.8929 alpha=67.15 beta=67.15 gamma=60.00
Last column: nearest neighbours and their distance in Å.
Fractional coordinates of all 4 atoms:
In1 0.4901 0.4901 0.5296  1 Ag 2.93, 6 Hf 2.98-3.15
Hf1 0.2655 0.2655 0.2034  3 Ag 2.91, 1 Hf 3.10, 3 In 3.15
Ag1 0.6753 0.6753 0.9742  6 Hf 2.81-2.91, 1 In 2.93
Hf2 0.0691 0.0691 0.7927  3 Ag 2.81, 3 In 2.98, 1 Hf 3.10



Entry 6:
Computed, not measured: a relaxed structure of CsSc3P at the PBE level of DFT.

Properties
Electronic total energy (eV per atom): -3.4412
Crystal system: cubic
D(E_F) (states/eV/cell): 5.7
E_form (eV per atom): 1.610

Unit cell a=5.1877 b=5.1877 c=5.1877 alpha=90.00 beta=90.00 gamma=90.00
Last column: nearest neighbours and their distance in Å.
Fractional coordinates of all 5 atoms:
P1 0.5000 0.5000 0.5000  12 Sc 3.67
Sc1 0.5000 0.0000 0.0000  2 Cs 2.59
Sc2 0.0000 0.0000 0.5000  2 Cs 2.59
Cs1 0.0000 0.0000 0.0000  6 Sc 2.59
Sc3 0.0000 0.5000 0.0000  2 Cs 2.59



Entry 7:
Computed, not measured: a relaxed structure of HfRh2F at the PBE level of DFT.

Properties
Electronic total energy (eV per atom): -7.1909
Crystal system: cubic
D(E_F) (states/eV/cell): 2.5
Formation energy from raw total energies (eV per atom): -0.559

Unit cell a=4.3951 b=4.3951 c=4.3951 alpha=60.00 beta=60.00 gamma=60.00
Last column: nearest neighbours and their distance in Å.
Fractional coordinates of all 4 atoms:
Rh1 0.2500 0.2500 0.2500  4 Hf 2.69, 4 F 2.69
Rh2 0.7500 0.7500 0.7500  4 Hf 2.69, 4 F 2.69
Hf1 0.5000 0.5000 0.5000  8 Rh 2.69
F1 0.0000 0.0000 0.0000  8 Rh 2.69



Entry 8:
Computed, not measured: a relaxed structure of Pa2NiAs2N2 at the PBE level of DFT.

Properties
Electronic total energy (eV per atom): -8.0044
Crystal system: trigonal
D(E_F) (states/eV/cell): 8.7
Formation energy from raw total energies (eV per atom): -0.758

Unit cell a=3.9156 b=3.9156 c=11.0794 alpha=90.00 beta=90.00 gamma=120.00
Last column: nearest neighbours and their distance in Å.
Fractional coordinates of all 7 atoms:
N1 0.6667 0.3333 0.5750  4 Pa 2.29-2.35
Pa1 0.6667 0.3333 0.3683  4 N 2.29-2.35
N2 0.3333 0.6667 0.4250  4 Pa 2.29-2.35
As1 0.0000 0.0000 0.2016  1 Ni 2.23
Ni1 0.0000 0.0000 0.0000  2 As 2.23
As2 0.0000 0.0000 0.7984  1 Ni 2.23
Pa2 0.3333 0.6667 0.6317  4 N 2.29-2.35



Entry 9:
Computed, not measured: a relaxed structure of Nd4TlBi3 at the PBE level of DFT.

Properties
Electronic total energy (eV per atom): -4.8679
Crystal system: cubic
D(E_F) (states/eV/cell): 4.5
E_form (eV per atom): -0.733

Unit cell a=6.4987 b=6.4987 c=6.4987 alpha=90.00 beta=90.00 gamma=90.00
Last column: nearest neighbours and their distance in Å.
Fractional coordinates of all 8 atoms:
Bi1 0.0000 0.5000 0.5000  6 Nd 3.25
Nd1 0.0000 0.0000 0.5000  4 Bi 3.25, 2 Tl 3.25
Bi2 0.5000 0.5000 0.0000  6 Nd 3.25
Bi3 0.5000 0.0000 0.5000  6 Nd 3.25
Nd2 0.5000 0.5000 0.5000  6 Bi 3.25
Nd3 0.0000 0.5000 0.0000  4 Bi 3.25, 2 Tl 3.25
Tl1 0.0000 0.0000 0.0000  6 Nd 3.25
Nd4 0.5000 0.0000 0.0000  2 Tl 3.25, 4 Bi 3.25



Entry 10:
Computed, not measured: a relaxed structure of K4Ho3HfSe8 at the PBE level of DFT.

Properties
Electronic total energy (eV per atom): -5.1192
Crystal system: trigonal
D(E_F) (states/eV/cell): 4.3
Formation energy from raw total energies (eV per atom): -1.622

Unit cell a=8.2317 b=9.0428 c=8.2318 alpha=117.08 beta=120.00 gamma=90.00
Last column: nearest neighbours and their distance in Å.
Fractional coordinates of all 16 atoms:
Ho1 0.0000 0.5000 0.5000  6 Se 2.86-2.88
Se1 0.7359 0.7076 0.4718  3 Ho 2.86
K1 0.5000 0.0000 0.5000  6 Se 3.27
K2 0.5000 0.0000 0.0000  6 Se 3.37
Se2 0.2271 0.7021 0.9750  1 Hf 2.76, 2 Ho 2.88
Se3 0.2641 0.2924 0.5282  3 Ho 2.86
Se4 0.7478 0.7021 0.9750  1 Hf 2.76, 2 Ho 2.88
Ho2 0.5000 0.5000 0.0000  6 Se 2.86-2.88
K3 0.0000 0.0000 0.5000  6 Se 3.27
Ho3 0.5000 0.5000 0.5000  6 Se 2.86-2.88
K4 0.0000 0.0000 0.0000  6 Se 3.27
Se5 0.2272 0.7021 0.4543  1 Hf 2.76, 2 Ho 2.88
Se6 0.2522 0.2979 0.0250  1 Hf 2.76, 2 Ho 2.88
Se7 0.7729 0.2979 0.0250  1 Hf 2.76, 2 Ho 2.88
Hf1 0.0000 0.5000 0.0000  6 Se 2.76
Se8 0.7728 0.2979 0.5457  1 Hf 2.76, 2 Ho 2.88



Entry 11:
Computed, not measured: a relaxed structure of Pm3Sm3Tm2 at the PBE level of DFT.

Properties
Electronic total energy (eV per atom): -4.5921
Crystal system: monoclinic
D(E_F) (states/eV/cell): 13.4
E_form (eV per atom): 0.077

Unit cell a=5.7555 b=6.0105 c=8.7515 alpha=109.95 beta=109.20 gamma=90.00
Last column: nearest neighbours and their distance in Å.
Fractional coordinates of all 8 atoms:
Tm1 0.7500 0.6825 0.4999  4 Pm 3.43-3.55, 4 Sm 3.43-3.55, 2 Tm 3.62
Pm1 0.8653 0.3085 0.7305  1 Pm 3.37, 4 Tm 3.43-3.55, 5 Sm 3.56-3.70
Tm2 0.2500 0.3175 0.5001  4 Pm 3.43-3.55, 4 Sm 3.43-3.55, 2 Tm 3.62
Sm1 0.3655 0.9208 0.7311  1 Sm 3.39, 4 Tm 3.43-3.55, 5 Pm 3.56-3.70
Pm2 0.0000 0.0000 0.0000  2 Pm 3.37, 4 Sm 3.56
Pm3 0.1347 0.6915 0.2695  1 Pm 3.37, 4 Tm 3.43-3.55, 5 Sm 3.56-3.70
Sm2 0.5000 0.5000 0.0000  2 Sm 3.39, 4 Pm 3.57
Sm3 0.6345 0.0792 0.2689  1 Sm 3.39, 4 Tm 3.43-3.55, 5 Pm 3.56-3.70



Entry 12:
Computed, not measured: a relaxed structure of La3Sc2Ge3 at the PBE level of DFT.

Properties
Electronic total energy (eV per atom): -5.8617
Crystal system: hexagonal
D(E_F) (states/eV/cell): 17.1
E_form (eV per atom): -0.700

Unit cell a=6.2825 b=8.7546 c=8.7546 alpha=120.00 beta=90.00 gamma=90.00
Last column: nearest neighbours and their distance in Å.
Fractional coordinates of all 16 atoms:
La1 0.7500 0.2575 0.0000  5 Ge 3.04-3.36
Ge1 0.2500 0.6049 0.6049  5 La 3.04-3.36, 4 Sc 3.11
Sc1 0.0000 0.3333 0.6667  6 Ge 3.11, 2 Sc 3.14
Sc2 0.5000 0.3333 0.6667  6 Ge 3.11, 2 Sc 3.14
Ge2 0.7500 0.0000 0.6049  5 La 3.04-3.36, 4 Sc 3.11
La2 0.7500 0.0000 0.2575  5 Ge 3.04-3.36
Sc3 0.0000 0.6667 0.3333  6 Ge 3.11, 2 Sc 3.14
La3 0.2500 0.0000 0.7425  5 Ge 3.04-3.36
La4 0.2500 0.7425 0.0000  5 Ge 3.04-3.36
La5 0.2500 0.2575 0.2575  5 Ge 3.04-3.36
Ge3 0.7500 0.6049 0.0000  5 La 3.04-3.36, 4 Sc 3.11
Ge4 0.7500 0.3951 0.3951  5 La 3.04-3.36, 4 Sc 3.11
La6 0.7500 0.7425 0.7425  5 Ge 3.04-3.36
Ge5 0.2500 0.3951 0.0000  5 La 3.04-3.36, 4 Sc 3.11
Ge6 0.2500 0.0000 0.3951  5 La 3.04-3.36, 4 Sc 3.11
Sc4 0.5000 0.6667 0.3333  6 Ge 3.11, 2 Sc 3.14